ScAg2N2: optimized geometry, GGA-PBE.

Summary:
uncorrected formation energy = 1.030 eV per atom
E above lowest polymorph = 203 meV per atom
SG = P4/mbm, No. 127
magnetization = 0.09 μB per formula unit

Structure (POSCAR):
```
ScAg2N2
1.0
-0.316 -6.590 -1.823
6.496 0.280 -2.139
0.921 -0.789 2.693
Sc N Ag
2 4 4
Direct
0.500 0.500 0.000
0.000 0.000 0.000
0.309 0.191 0.500
0.809 0.309 0.500
0.691 0.809 0.500
0.191 0.691 0.500
0.369 0.869 0.000
0.131 0.369 0.000
0.869 0.631 0.000
0.631 0.131 0.000
```


ScAgN3: optimized geometry, GGA-PBE.

Summary:
uncorrected formation energy = 1.313 eV per atom
SG = Pm-3m, No. 221
magnetization = 0.00 μB per formula unit

Structure (POSCAR):
```
ScAgN3
1.0
-2.821 -2.827 1.033
3.009 -2.677 0.891
0.060 1.363 3.893
Sc Ag N
1 1 3
Direct
0.000 0.000 0.000
0.500 0.500 0.500
0.000 0.500 0.000
0.500 0.000 0.000
0.000 0.000 0.500
```